[1]
K2ScTe | the Alexandria database | PBE | optimized geometry; ΔE_f (raw) = 0.052 eV per atom
1.0
3.615 0.023 0.000
-0.029 3.615 0.000
0.000 0.000 11.591
Te K Sc
1 2 1
Cartesian
1.793 1.819 8.694
0.000 0.000 11.101
0.000 0.000 6.286
1.793 1.819 2.898

=====

[2]
K2ScTe | the Alexandria database | PBE | optimized geometry; ΔE_f (raw) = 0.116 eV per atom
1.0
12.524 0.002 0.001
11.967 3.694 0.001
11.967 1.806 3.222
K Sc Te
2 1 1
Cartesian
17.827 2.691 1.577
0.402 0.061 0.036
9.114 1.376 0.806
27.343 4.127 2.419

=====

[3]
K2ScTe | the Alexandria database | PBE | optimized geometry; ΔE_f (raw) = -0.282 eV per atom
1.0
4.284 0.000 0.000
0.000 5.700 0.000
0.000 2.855 7.246
K Sc Te
2 1 1
Cartesian
0.000 8.199 6.631
2.142 2.496 2.074
0.000 5.347 3.769
2.142 5.346 5.639

=====

[4]
K2ScTe | the Alexandria database | PBE | optimized geometry; ΔE_f (raw) = -0.150 eV per atom
1.0
-2.011 2.786 3.331
-2.179 -3.823 1.882
4.930 -0.953 3.773
K Sc Te
2 1 1
Cartesian
2.544 -0.492 1.947
4.851 -0.938 3.713
-0.863 -0.757 3.550
1.602 -1.233 5.436

=====

Q: Number 2 is which compound?
A: K2ScTe